1.
ScCu2I at its PBEsol-relaxed geometry, computed with meta-GGA SCAN.

The structure belongs to space group Fm-3m (No. 225); the cell edges are 6.638, 6.638 and 6.638 Å and the angles 90.00°, 90.00° and 90.00°. The asymmetric unit holds Sc at (0.000, 0.000, 0.000), Cu at (0.250, 0.250, 0.250) and I at (0.000, 0.000, 0.500).

=====

2.
CuSeI at its PBEsol-relaxed geometry, computed with meta-GGA SCAN.

The structure belongs to space group Cm (No. 8); the cell edges are 7.158, 3.812 and 5.856 Å and the angles 90.00°, 109.63° and 90.00°. The asymmetric unit holds Cu at (0.000, 0.000, 0.000), Se at (0.298, 0.000, 0.900) and I at (0.290, 0.000, 0.412).

=====

3.
Cu2SeI2 at its PBEsol-relaxed geometry, computed with meta-GGA SCAN.

The structure belongs to space group C2 (No. 5); the cell edges are 6.366, 4.069 and 9.206 Å and the angles 90.00°, 93.37° and 90.00°. The asymmetric unit holds Cu at (0.187, 0.000, 0.338), Se at (0.000, 0.342, 0.500) and I at (0.173, 0.038, 0.821).

=====

4.
CuSiI2 at its PBEsol-relaxed geometry, computed with meta-GGA SCAN.

The structure belongs to space group Fm-3m (No. 225); the cell edges are 7.128, 7.128 and 7.128 Å and the angles 90.00°, 90.00° and 90.00°. The asymmetric unit holds Cu at (0.000, 0.000, 0.000), Si at (0.000, 0.000, 0.500) and I at (0.250, 0.250, 0.250).

=====

5.
ZnCuSiI2 at its PBEsol-relaxed geometry, computed with meta-GGA SCAN.

The structure belongs to space group P4/mmm (No. 123); the cell edges are 5.624, 5.624 and 4.405 Å and the angles 90.00°, 90.00° and 90.00°. The asymmetric unit holds Zn at (0.000, 0.000, 0.000), Cu at (0.500, 0.500, 0.000), Si at (0.500, 0.500, 0.500) and I at (0.000, 0.500, 0.500).

=====

6.
TaCu2I at its PBEsol-relaxed geometry, computed with meta-GGA SCAN.

The structure belongs to space group Fm-3m (No. 225); the cell edges are 6.477, 6.477 and 6.477 Å and the angles 90.00°, 90.00° and 90.00°. The asymmetric unit holds Ta at (0.000, 0.000, 0.000), Cu at (0.250, 0.250, 0.250) and I at (0.000, 0.000, 0.500).

=====

7.
TaCu3I at its PBEsol-relaxed geometry, computed with meta-GGA SCAN.

The structure belongs to space group Pm-3m (No. 221); the cell edges are 4.807, 4.807 and 4.807 Å and the angles 90.00°, 90.00° and 90.00°. The asymmetric unit holds Ta at (0.000, 0.000, 0.000), Cu at (0.000, 0.000, 0.500) and I at (0.500, 0.500, 0.500).

=====

8.
CuTc3I at its PBEsol-relaxed geometry, computed with meta-GGA SCAN.

The structure belongs to space group Pm-3m (No. 221); the cell edges are 4.479, 4.479 and 4.479 Å and the angles 90.00°, 90.00° and 90.00°. The asymmetric unit holds Cu at (0.000, 0.000, 0.000), Tc at (0.000, 0.000, 0.500) and I at (0.500, 0.500, 0.500).

=====

Calculated energy relative to the elements, uncorrected (meV/atom), listed in the same order as above: 419, -25, -53, 825, 481, 1254, 1482, 1937